1.
Entry from Alexandria via LeMat-Bulk: crystalline K2SrP2 at its relaxed geometry (PBE-GGA).

```
K2SrP2
1.0
-0.2675 -1.5969 -4.2665
3.0416 -3.2443 1.0236
-3.7288 -6.6198 0.2710
Sr K P
1 2 2
direct
0.0000 0.0000 0.0000
0.7500 0.2500 0.5000
0.2500 0.7500 0.5000
0.4179 0.4179 0.1642
0.5821 0.5821 0.8358
```

Properties
As for the polymorph energy (0 for the lowest one): 0.053 eV/atom. As for the space group: I4/mmm. The calculation puts the density of states at the Fermi level at 1.49 states/eV per cell. As for the energy of formation: -0.374 eV per atom. For the total energy, the calculation gives -0.12177 Ha/atom.



2.
Entry from Alexandria via LeMat-Bulk: crystalline K4SrP at its relaxed geometry (PBE-GGA).

```
K4SrP
1.0
0.0000 5.2198 5.2198
5.2198 0.0000 5.2198
5.2198 5.2198 0.0000
K Sr P
4 1 1
direct
0.8672 0.3776 0.3776
0.3776 0.3776 0.8672
0.3776 0.8672 0.3776
0.3776 0.3776 0.3776
0.0000 0.0000 0.0000
0.7500 0.7500 0.7500
```

Properties
As for the space group: F-43m. The calculation puts the density of states at the Fermi level at 6.30 states/eV per cell. As for the energy of formation: 0.416 eV per atom. For the total energy, the calculation gives -0.05502 Ha/atom.



3.
Entry from Alexandria via LeMat-Bulk: crystalline KSr3P at its relaxed geometry (PBE-GGA).

```
KSr3P
1.0
-4.5491 3.1757 -5.1546
-7.3893 0.8002 1.4514
-2.0282 11.3098 3.1949
K Sr P
2 6 2
direct
0.3358 0.3358 0.9925
0.6642 0.6642 0.0075
0.1038 0.4546 0.6525
0.7891 0.1038 0.6525
0.5454 0.2109 0.3475
0.2109 0.8962 0.3475
0.8962 0.5454 0.3475
0.4546 0.7891 0.6525
0.1645 0.1645 0.5064
0.8355 0.8355 0.4936
```

Properties
As for the polymorph energy (0 for the lowest one): 0.010 eV/atom. As for the space group: R-3. The calculation puts the density of states at the Fermi level at 6.84 states/eV per cell. As for the energy of formation: -0.419 eV per atom. For the total energy, the calculation gives -0.10031 Ha/atom.



4.
Entry from Alexandria via LeMat-Bulk: crystalline K2SrP2 at its relaxed geometry (PBE-GGA).

```
K2SrP2
1.0
7.6417 0.0000 0.0000
0.0000 7.6417 0.0000
0.0000 0.0000 5.3642
Sr K P
2 4 4
direct
0.0000 0.0000 0.0000
0.5000 0.5000 0.0000
0.1617 0.6617 0.5000
0.6617 0.8383 0.5000
0.8383 0.3383 0.5000
0.3383 0.1617 0.5000
0.3959 0.8959 0.0000
0.8959 0.6041 0.0000
0.6041 0.1041 0.0000
0.1041 0.3959 0.0000
```

Properties
As for the polymorph energy (0 for the lowest one): 0.000 eV/atom. As for the space group: P4/mbm. The calculation puts the density of states at the Fermi level at 3.72 states/eV per cell. As for the energy of formation: -0.427 eV per atom. For the total energy, the calculation gives -0.12373 Ha/atom.